Entry 1:
ZrHOs3: optimized geometry, PBE-GGA.

Magnetic moment = 0.0 μB/f.u.
Energy = -9.10 eV/atom
ΔE to the lowest computed polymorph = 0 meV/atom
Crystal system = cubic

a b c (Å): 4.032 4.032 4.032
angles (deg): 90.00 90.00 90.00
Space group Pm-3m (No. 221)
Inequivalent atoms, fractional coordinates:
Zr1 0.000 0.000 0.000 [1 per cell]
H1 0.500 0.500 0.500 [1 per cell]
Os1 0.000 0.500 0.500 [3 per cell]



Entry 2:
Zr3H12Os5: optimized geometry, PBE-GGA.

Magnetic moment = 0.0 μB/f.u.
Energy = -6.03 eV/atom
Crystal system = cubic

a b c (Å): 11.188 11.188 11.188
angles (deg): 90.00 90.00 90.00
Space group Ia-3d (No. 230)
Inequivalent atoms, fractional coordinates:
Zr1 0.000 0.250 0.125 [24 per cell]
H1 0.026 0.063 0.646 [96 per cell]
Os1 0.000 0.000 0.000 [16 per cell]
Os2 0.000 0.250 0.375 [24 per cell]



Entry 3:
Zr2HOs2: optimized geometry, PBE-GGA.

Magnetic moment = 0.0 μB/f.u.
Energy = -8.04 eV/atom
ΔE to the lowest computed polymorph = 80 meV/atom
Crystal system = tetragonal

a b c (Å): 3.593 3.593 14.262
angles (deg): 90.00 90.00 90.00
Space group I4/mmm (No. 139)
Inequivalent atoms, fractional coordinates:
Zr1 0.000 0.000 0.101 [4 per cell]
H1 0.000 0.000 0.500 [2 per cell]
Os1 0.000 0.500 0.250 [4 per cell]



Entry 4:
Zr2HOs2: optimized geometry, PBE-GGA.

Magnetic moment = 0.0 μB/f.u.
Energy = -8.12 eV/atom
ΔE to the lowest computed polymorph = 0 meV/atom
Crystal system = tetragonal

a b c (Å): 7.395 7.395 3.354
angles (deg): 90.00 90.00 90.00
Space group P4/mbm (No. 127)
Inequivalent atoms, fractional coordinates:
Zr1 0.188 0.312 0.000 [4 per cell]
H1 0.000 0.000 0.000 [2 per cell]
Os1 0.118 0.618 0.500 [4 per cell]